No. 1
Compound: PrH4Pd2Pt
Source: the Alexandria database
Functional: PBE
Structure: relaxed

```
8
Lattice="5.1534 -0.0028 -0.0049 -0.0041 5.1576 -0.0021 -2.5742 -2.5753 3.3891" Properties=species:S:1:pos:R:3 pbc="T T T"
Pr 2.5772 -0.0011 3.2871
H 1.0604 1.6254 1.9682
H 3.5317 1.0631 1.2268
H 1.6180 4.0945 1.2213
H -1.0641 3.5376 1.9651
Pd -0.0011 2.5808 3.2895
Pd 0.0002 -0.0006 1.5927
Pt 2.5745 2.5774 1.5963
```

Results
Theoretical density ... 10.20 g/cm³
Space-group type ... I-4
Fermi-level density of states ... 2.3 states/eV/cell

***

No. 2
Compound: PrH8Pd3Pt2
Source: the Alexandria database
Functional: PBE
Structure: relaxed

```
14
Lattice="-4.9355 -0.6729 3.0110 -2.6336 -5.1885 0.1494 0.0067 -3.1260 4.9382" Properties=species:S:1:pos:R:3 pbc="T T T"
Pr -6.6014 -6.3098 4.6465
H -1.9110 -2.2374 1.9934
H -5.4088 -6.8624 6.4777
H -1.9493 -3.8261 4.4695
H -4.3459 -4.1529 5.9315
H -3.2281 -6.3455 4.5420
H -4.4227 -3.0432 3.3219
H -3.6148 -4.6280 2.3175
H -5.3471 -4.8642 3.3743
Pd -2.4655 -3.4946 6.4292
Pd -1.3385 -5.7054 5.0281
Pd -3.7549 -6.0348 6.5023
Pt -0.9381 -2.6882 3.4873
Pt -3.7605 -4.5033 4.0811
```

Results
Theoretical density ... 10.16 g/cm³
Space-group type ... R3m
Fermi-level density of states ... 5.0 states/eV/cell

***

No. 3
Compound: Pr2H3Pd12Pt
Source: the Alexandria database
Functional: PBE
Structure: relaxed

```
18
Lattice="-3.7935 1.5055 -6.2040 -4.1070 -5.1865 -3.3733 -7.4180 0.3449 -0.0065" Properties=species:S:1:pos:R:3 pbc="T T T"
Pr -9.1265 -1.9876 -5.7098
Pr -6.1921 -1.3485 -3.8739
H -1.8967 0.7527 -3.1020
H -2.0535 -2.5932 -1.6866
H -3.7090 0.1724 -0.0032
Pd -8.7966 -0.6980 -2.6247
Pd -10.0916 -2.9836 -8.1713
Pd -11.5445 -3.4488 -5.6871
Pd -6.5451 0.0229 -6.4744
Pd -11.4188 -0.7664 -6.8218
Pd -6.7399 -4.1339 -4.7160
Pd -6.5219 -2.6381 -6.9591
Pd -5.2270 -0.3525 -1.4124
Pd -3.7740 0.1127 -3.8967
Pd -8.7734 -3.3590 -3.1094
Pd -3.8997 -2.5698 -2.7620
Pd -8.5786 0.7978 -4.8678
Pt 0.0000 0.0000 0.0000
```

Results
Theoretical density ... 10.40 g/cm³
Space-group type ... R-3m
Fermi-level density of states ... 9.3 states/eV/cell

***

No. 4
Compound: PrH6PdPt
Source: the Alexandria database
Functional: PBE
Structure: relaxed

```
9
Lattice="-4.3821 -1.5001 1.3619 -0.6166 -4.5116 1.6042 0.8028 1.3291 4.0467" Properties=species:S:1:pos:R:3 pbc="T T T"
Pr -4.1959 -4.6826 7.0127
H -0.1600 -1.9342 1.7592
H -1.5600 0.2289 3.7844
H -1.8614 -1.9582 4.5626
H 0.2646 -1.2332 3.9028
H -2.2841 -2.6637 2.4201
H -1.9876 -0.4757 1.6427
Pd -2.9308 -3.3432 4.0006
Pt -1.2646 -1.3394 3.0120
```

Results
Theoretical density ... 8.51 g/cm³
Space-group type ... P-6m2
Fermi-level density of states ... 1.1 states/eV/cell

***

No. 5
Compound: RbPrH6Pd2
Source: the Alexandria database
Functional: PBE
Structure: relaxed

```
20
Lattice="6.5191 0.5122 -0.1618 -0.2898 6.5328 -0.1618 -2.0102 -2.2735 7.3969" Properties=species:S:1:pos:R:3 pbc="T T T"
Rb -0.2760 5.5078 1.6875
Rb 4.4950 -0.7363 5.3859
Pr 2.9567 2.6494 1.6875
Pr 1.2624 2.1221 5.3859
H 5.1152 1.8186 2.8048
H 4.0455 0.6089 0.5701
H -0.8961 2.9529 4.2685
H 0.1736 4.1626 6.5032
H 0.7379 1.7286 1.4092
H 3.5989 4.9643 1.9657
H 3.4812 3.0428 5.6641
H 0.6202 -0.1928 5.1076
H 1.2510 3.5032 3.2209
H 1.9005 4.2378 0.1540
H 2.9681 1.2683 3.8525
H 2.3186 0.5337 6.9193
Pd 1.3716 -0.8713 6.5020
Pd 4.2466 2.3802 4.2698
Pd 2.8475 5.6428 0.5714
Pd -0.0275 2.3913 2.8035
```

Results
Theoretical density ... 4.74 g/cm³
Space-group type ... C2/c

***

No. 6
Compound: PrH8Pd2Rh3
Source: the Alexandria database
Functional: PBE
Structure: relaxed

```
14
Lattice="-3.2103 -4.4283 -1.6101 -0.4810 -4.5559 3.3942 -4.9871 -1.0345 2.6936" Properties=species:S:1:pos:R:3 pbc="T T T"
Pr -5.1087 -8.2446 2.5760
H -2.0566 -2.5636 1.0563
H -6.9006 -7.3095 3.5772
H -4.8374 -3.0134 2.5615
H -6.3698 -5.1272 1.7929
H -5.0670 -5.1881 4.1816
H -3.4700 -5.0325 0.5696
H -2.4662 -5.0795 2.4101
H -3.6469 -6.7082 1.8180
Pd -3.5394 -1.7899 1.8848
Pd -4.3707 -4.9929 2.2564
Rh -6.5788 -3.2663 1.9104
Rh -5.2390 -3.3289 4.3669
Rh -6.8149 -5.5028 3.5765
```

Results
Theoretical density ... 8.36 g/cm³
Space-group type ... R3m
Fermi-level density of states ... 3.1 states/eV/cell

***

No. 7
Compound: PrH8PdRh2
Source: the Alexandria database
Functional: PBE
Structure: relaxed

```
12
Lattice="4.8417 0.0000 0.0000 2.4208 4.1930 0.0000 2.4208 1.3977 5.4175" Properties=species:S:1:pos:R:3 pbc="T T T"
Pr 4.8417 2.7953 2.7087
H 2.4208 1.3977 2.3348
H 4.1436 1.5581 0.7399
H 7.2625 4.1930 3.0826
H 6.2622 2.8094 0.7399
H 3.4211 2.7813 4.6775
H 4.1192 4.0185 0.7399
H 5.5641 1.5721 4.6775
H 5.5398 4.0326 4.6775
Pd 0.0000 0.0000 0.0000
Rh 2.4208 1.3977 0.6482
Rh 7.2625 4.1930 4.7693
```

Results
Theoretical density ... 6.96 g/cm³
Space-group type ... R-3
Fermi-level density of states ... 1.8 states/eV/cell

***

No. 8
Compound: PrH6PdRu
Source: the Alexandria database
Functional: PBE
Structure: relaxed

```
9
Lattice="4.7742 0.0000 0.0000 2.3871 4.1346 0.0001 0.0001 -0.0001 4.3467" Properties=species:S:1:pos:R:3 pbc="T T T"
Pr 4.7742 -0.0001 4.3466
H 1.2867 2.0157 1.0047
H 2.3889 0.1063 3.3421
H 3.4875 2.0157 3.3421
H 1.2848 2.0123 3.3420
H 3.4893 2.0125 1.0046
H 2.3851 0.1064 1.0045
Pd 4.7743 2.7563 2.1733
Ru 2.3870 1.3782 2.1733
```

Results
Theoretical density ... 6.86 g/cm³
Space-group type ... P-6m2
Fermi-level density of states ... 3.7 states/eV/cell

***

Respective calculated total energy values: -37.978; -61.432; -92.316; -39.293; -39.571; -67.664; -54.364; -41.581 eV/f.u..